Record 1
ThV2PbO8 | GGA+U | relaxed

a b c (Å): 5.8780 5.8780 7.2661
angles (deg): 90.00 90.00 120.00
Space group P-3m1 (No. 164)
Inequivalent atoms, fractional coordinates:
Th (0.0000, 0.0000, 0.0000) (multiplicity 1)
V (0.3333, 0.6667, 0.2914) (multiplicity 2)
Pb (0.0000, 0.0000, 0.5000) (multiplicity 1)
O (0.1680, 0.3360, 0.2127) (multiplicity 6)
O (0.3333, 0.6667, 0.5194) (multiplicity 2)

Values from the calculation:
ΔE to the lowest computed polymorph = 70.2 meV/atom
VASP energy = -7.72 eV/atom

***

Record 2
ThV2PbO8 | GGA+U | relaxed

a b c (Å): 6.995 7.083 7.419
angles (deg): 88.74 87.32 75.68
Space group P-1 (No. 2)
Inequivalent atoms, fractional coordinates:
Th (0.071, 0.228, 0.138) (multiplicity 2)
V (0.112, 0.700, 0.348) (multiplicity 2)
V (0.393, 0.801, 0.833) (multiplicity 2)
Pb (0.397, 0.290, 0.640) (multiplicity 2)
O (0.016, 0.607, 0.158) (multiplicity 2)
O (0.053, 0.278, 0.463) (multiplicity 2)
O (0.175, 0.914, 0.288) (multiplicity 2)
O (0.180, 0.974, 0.916) (multiplicity 2)
O (0.271, 0.617, 0.805) (multiplicity 2)
O (0.333, 0.539, 0.395) (multiplicity 2)
O (0.390, 0.248, 0.042) (multiplicity 2)
O (0.456, 0.886, 0.631) (multiplicity 2)

Values from the calculation:
ΔE to the lowest computed polymorph = 27.5 meV/atom
VASP energy = -7.77 eV/atom

***

Record 3
ThV2PbO8 | GGA+U | relaxed

a b c (Å): 5.264 5.264 11.959
angles (deg): 90.00 90.00 90.00
Space group I-4 (No. 82)
Inequivalent atoms, fractional coordinates:
Th (0.000, 0.000, 0.000) (multiplicity 2)
V (0.000, 0.000, 0.500) (multiplicity 2)
V (0.000, 0.500, 0.250) (multiplicity 2)
Pb (0.000, 0.500, 0.750) (multiplicity 2)
O (0.121, 0.253, 0.166) (multiplicity 8)
O (0.148, 0.750, 0.572) (multiplicity 8)

Values from the calculation:
ΔE to the lowest computed polymorph = 27.4 meV/atom
VASP energy = -7.77 eV/atom

***

Record 4
ThV2PbO8 | GGA+U | relaxed

a b c (Å): 7.532 7.532 6.582
angles (deg): 90.00 90.00 90.00
Space group I-4m2 (No. 119)
Inequivalent atoms, fractional coordinates:
Th (0.000, 0.000, 0.000) (multiplicity 2)
V (0.000, 0.000, 0.500) (multiplicity 2)
V (0.000, 0.500, 0.250) (multiplicity 2)
Pb (0.000, 0.500, 0.750) (multiplicity 2)
O (0.000, 0.171, 0.679) (multiplicity 8)
O (0.000, 0.313, 0.091) (multiplicity 8)

Values from the calculation:
ΔE to the lowest computed polymorph = 0.0 meV/atom
VASP energy = -7.79 eV/atom

***

Which of these has the lowest ΔE to the lowest computed polymorph?
number 4

***

Among the records above, which one has the lowest ΔE to the lowest computed polymorph?
number 4